Here is a PBEsol-optimized structure of La2NbPt from the Alexandria database. Energies are from SCAN.

Cell and atoms, written as CIF:
```
data_La2NbPt
_cell_length_a 7.2330
_cell_length_b 7.2330
_cell_length_c 7.2330
_cell_angle_alpha 90.00
_cell_angle_beta 90.00
_cell_angle_gamma 90.00
_space_group_name_H-M_alt 'F m -3 m'
_space_group_IT_number 225
_space_group_name_Hall '-F 4 2 3'
loop_
_atom_site_label
_atom_site_type_symbol
_atom_site_fract_x
_atom_site_fract_y
_atom_site_fract_z
_atom_site_occupancy
La1 La 0.2500 0.2500 0.2500 1
Nb1 Nb 0.0000 0.0000 0.0000 1
Pt1 Pt 0.0000 0.0000 0.5000 1
```

## Properties
Calculated total energy (eV per atom): -47.55
ΔH_f (0 K) (kJ per mole of atoms): -16